# 1
Gd2TcAu | PBE | optimized geometry

a b c (Å): 3.494 3.494 7.302
angles (deg): 90.00 90.00 90.00
Space group P4/mmm (No. 123)
Unique sites:
Gd (0.000, 0.000, 0.230) x2
Tc (0.500, 0.500, 0.000) x1
Au (0.500, 0.500, 0.500) x1

Results
Density: 11.4 g cm⁻³
E_form: -0.397 eV per atom
Excess energy over the best structure of this formula in the dataset: 0 meV per atom

=====

# 2
Gd2TcAu | PBE | optimized geometry

a b c (Å): 7.070 7.070 7.070
angles (deg): 90.00 90.00 90.00
Space group Fm-3m (No. 225)
Unique sites:
Gd (0.250, 0.250, 0.250) x8
Tc (0.000, 0.000, 0.000) x4
Au (0.000, 0.000, 0.500) x4

Results
Density: 11.5 g cm⁻³
E_form: -0.304 eV per atom
Excess energy over the best structure of this formula in the dataset: 93 meV per atom

=====

# 3
GdTmTcAu | PBE | optimized geometry

a b c (Å): 6.990 6.990 6.990
angles (deg): 90.00 90.00 90.00
Space group F-43m (No. 216)
Unique sites:
Gd (0.000, 0.000, 0.000) x4
Tm (0.000, 0.000, 0.500) x4
Tc (0.250, 0.250, 0.750) x4
Au (0.250, 0.250, 0.250) x4

Results
Density: 12.1 g cm⁻³
E_form: -0.357 eV per atom

=====

# 4
GdZrTcAu | PBE | optimized geometry

a b c (Å): 6.893 6.893 6.893
angles (deg): 90.00 90.00 90.00
Space group F-43m (No. 216)
Unique sites:
Gd (0.000, 0.000, 0.000) x4
Zr (0.000, 0.000, 0.500) x4
Tc (0.250, 0.250, 0.250) x4
Au (0.250, 0.250, 0.750) x4

Results
Density: 11.0 g cm⁻³
E_form: -0.307 eV per atom

=====

# 5
Gd2TeAu | PBE | optimized geometry

a b c (Å): 4.2039 4.2039 22.6330
angles (deg): 90.00 90.00 120.00
Space group R-3m (No. 166, hexagonal axes)
Unique sites:
Gd (0.0000, 0.0000, 0.2435) x6
Te (0.0000, 0.0000, 0.0000) x3
Au (0.0000, 0.0000, 0.5000) x3

Results
Density: 9.2 g cm⁻³
Excess energy over the best structure of this formula in the dataset: 0 meV per atom

=====

# 6
Gd2TeAu | PBE | optimized geometry

a b c (Å): 3.831 3.831 7.061
angles (deg): 90.00 90.00 90.00
Space group P4/mmm (No. 123)
Unique sites:
Gd (0.000, 0.000, 0.242) x2
Te (0.500, 0.500, 0.500) x1
Au (0.500, 0.500, 0.000) x1

Results
Density: 10.2 g cm⁻³
Excess energy over the best structure of this formula in the dataset: 87 meV per atom

=====

# 7
GdTeAu4 | PBE | optimized geometry

a b c (Å): 8.039 8.039 8.039
angles (deg): 90.00 90.00 90.00
Space group F-43m (No. 216)
Unique sites:
Gd (0.000, 0.000, 0.000) x4
Te (0.250, 0.250, 0.250) x4
Au (0.125, 0.125, 0.625) x16

Results
Density: 13.7 g cm⁻³
Total DFT energy (no corrections): -5.485 eV per atom

=====

# 8
GdThAu2 | PBE | optimized geometry

a b c (Å): 5.254 5.254 3.611
angles (deg): 90.00 90.00 90.00
Space group P4/mmm (No. 123)
Unique sites:
Gd (0.000, 0.000, 0.000) x1
Th (0.500, 0.500, 0.000) x1
Au (0.000, 0.500, 0.500) x2

Results
Density: 13.0 g cm⁻³
E_form: -0.692 eV per atom

=====

# 9
GdThAu | PBE | optimized geometry

a b c (Å): 3.660 3.660 12.413
angles (deg): 90.00 90.00 90.00
Space group I4mm (No. 107)
Unique sites:
Gd (0.000, 0.000, 0.000) x2
Th (0.000, 0.000, 0.299) x2
Au (0.000, 0.000, 0.643) x2

Results
Density: 11.7 g cm⁻³
E_form: -0.429 eV per atom
Excess energy over the best structure of this formula in the dataset: 0 meV per atom

=====

# 10
GdThAu | PBE | optimized geometry

a b c (Å): 7.173 7.173 7.173
angles (deg): 90.00 90.00 90.00
Space group F-43m (No. 216)
Unique sites:
Gd (0.000, 0.000, 0.000) x4
Th (0.000, 0.000, 0.500) x4
Au (0.250, 0.250, 0.750) x4

Results
Density: 10.6 g cm⁻³
E_form: -0.239 eV per atom
Excess energy over the best structure of this formula in the dataset: 191 meV per atom

=====

# 11
Gd2ThAu | PBE | optimized geometry

a b c (Å): 3.637 3.637 8.446
angles (deg): 90.00 90.00 90.00
Space group P4/mmm (No. 123)
Unique sites:
Gd (0.000, 0.000, 0.213) x2
Th (0.500, 0.500, 0.500) x1
Au (0.500, 0.500, 0.000) x1

Results
Density: 11.1 g cm⁻³
E_form: -0.397 eV per atom
Excess energy over the best structure of this formula in the dataset: 0 meV per atom

=====

# 12
GdThAu | PBE | optimized geometry

a b c (Å): 5.0118 5.0118 3.7124
angles (deg): 90.00 90.00 120.00
Space group P3m1 (No. 156)
Unique sites:
Gd (0.0000, 0.0000, 0.0000) x1
Th (0.3333, 0.6667, 0.5913) x1
Au (0.6667, 0.3333, 0.2967) x1

Results
Density: 12.1 g cm⁻³
E_form: -0.220 eV per atom
Excess energy over the best structure of this formula in the dataset: 209 meV per atom

=====

# 13
Gd2ThAu | PBE | optimized geometry

a b c (Å): 3.5420 3.5420 33.7938
angles (deg): 90.00 90.00 120.00
Space group R-3m (No. 166, hexagonal axes)
Unique sites:
Gd (0.0000, 0.0000, 0.0842) x6
Th (0.0000, 0.0000, 0.5000) x3
Au (0.0000, 0.0000, 0.0000) x3

Results
Density: 10.1 g cm⁻³
E_form: 0.118 eV per atom
Excess energy over the best structure of this formula in the dataset: 515 meV per atom

=====

# 14
Gd2TiAu | PBE | optimized geometry

a b c (Å): 3.679 3.679 7.178
angles (deg): 90.00 90.00 90.00
Space group P4/mmm (No. 123)
Unique sites:
Gd (0.000, 0.000, 0.246) x2
Ti (0.500, 0.500, 0.500) x1
Au (0.500, 0.500, 0.000) x1

Results
Density: 9.6 g cm⁻³
E_form: -0.259 eV per atom

=====

# 15
GdTiZnAu | PBE | optimized geometry

a b c (Å): 6.899 6.899 6.899
angles (deg): 90.00 90.00 90.00
Space group F-43m (No. 216)
Unique sites:
Gd (0.000, 0.000, 0.000) x4
Ti (0.000, 0.000, 0.500) x4
Zn (0.250, 0.250, 0.250) x4
Au (0.250, 0.250, 0.750) x4

Results
Density: 9.5 g cm⁻³
E_form: -0.272 eV per atom

=====

# 16
GdTl2Au | PBE | optimized geometry

a b c (Å): 3.5326 3.5326 32.2634
angles (deg): 90.00 90.00 120.00
Space group R-3m (No. 166, hexagonal axes)
Unique sites:
Gd (0.0000, 0.0000, 0.0000) x3
Tl (0.0000, 0.0000, 0.0987) x6
Au (0.0000, 0.0000, 0.5000) x3

Results
Density: 10.9 g cm⁻³
E_form: 0.108 eV per atom
Excess energy over the best structure of this formula in the dataset: 444 meV per atom

=====

# 17
Gd2TlAu | PBE | optimized geometry

a b c (Å): 7.464 7.464 7.464
angles (deg): 90.00 90.00 90.00
Space group Fm-3m (No. 225)
Unique sites:
Gd (0.250, 0.250, 0.250) x8
Tl (0.000, 0.000, 0.000) x4
Au (0.000, 0.000, 0.500) x4

Results
Density: 11.4 g cm⁻³
E_form: -0.575 eV per atom
Excess energy over the best structure of this formula in the dataset: 37 meV per atom

=====

# 18
GdTl2Au | PBE | optimized geometry

a b c (Å): 4.580 4.580 4.762
angles (deg): 90.00 90.00 90.00
Space group P4/mmm (No. 123)
Unique sites:
Gd (0.000, 0.000, 0.000) x1
Tl (0.000, 0.500, 0.500) x2
Au (0.500, 0.500, 0.000) x1

Results
Density: 12.7 g cm⁻³
E_form: -0.335 eV per atom
Excess energy over the best structure of this formula in the dataset: 0 meV per atom

=====

# 19
Gd2TlAu | PBE | optimized geometry

a b c (Å): 3.651 3.651 7.797
angles (deg): 90.00 90.00 90.00
Space group P4/mmm (No. 123)
Unique sites:
Gd (0.000, 0.000, 0.230) x2
Tl (0.500, 0.500, 0.500) x1
Au (0.500, 0.500, 0.000) x1

Results
Density: 11.4 g cm⁻³
E_form: -0.611 eV per atom
Excess energy over the best structure of this formula in the dataset: 0 meV per atom

=====

# 20
Gd2TlAu | PBE | optimized geometry

a b c (Å): 3.9276 3.9276 25.9509
angles (deg): 90.00 90.00 120.00
Space group R-3m (No. 166, hexagonal axes)
Unique sites:
Gd (0.0000, 0.0000, 0.2409) x6
Tl (0.0000, 0.0000, 0.0000) x3
Au (0.0000, 0.0000, 0.5000) x3

Results
Density: 10.3 g cm⁻³
E_form: -0.474 eV per atom
Excess energy over the best structure of this formula in the dataset: 138 meV per atom

=====

Number 1: DOS at the Fermi energy 1.91 states/eV/f.u.. Number 2: DOS at the Fermi energy 2.60 states/eV/f.u.. Number 3: DOS at the Fermi energy 1.87 states/eV/f.u.. Number 4: DOS at the Fermi energy 2.84 states/eV/f.u.. Number 5: DOS at the Fermi energy 5.15 states/eV/f.u.. Number 6: DOS at the Fermi energy 5.97 states/eV/f.u.. Number 7: DOS at the Fermi energy 5.93 states/eV/f.u.. Number 8: DOS at the Fermi energy 4.02 states/eV/f.u.. Number 9: DOS at the Fermi energy 3.45 states/eV/f.u.. Number 10: DOS at the Fermi energy 4.10 states/eV/f.u.. Number 11: DOS at the Fermi energy 5.21 states/eV/f.u.. Number 12: DOS at the Fermi energy 3.71 states/eV/f.u.. Number 13: DOS at the Fermi energy 3.82 states/eV/f.u.. Number 14: DOS at the Fermi energy 5.02 states/eV/f.u.. Number 15: DOS at the Fermi energy 5.17 states/eV/f.u.. Number 16: DOS at the Fermi energy 4.50 states/eV/f.u.. Number 17: DOS at the Fermi energy 4.44 states/eV/f.u.. Number 18: DOS at the Fermi energy 2.69 states/eV/f.u.. Number 19: DOS at the Fermi energy 3.70 states/eV/f.u.. Number 20: DOS at the Fermi energy 4.14 states/eV/f.u..